1.
Material: Si2Te
Method: DFT, PBE
State: relaxed

The formation energy (no corrections) comes out at 0.6276 eV/atom.

a b c (Å): 6.640 6.640 6.640
angles (deg): 90.00 90.00 90.00
Fractional positions:
1 Si 0.601 0.899 0.899
2 Si 0.399 0.101 0.101
3 Si 0.601 0.601 0.399
4 Si 0.101 0.899 0.601
5 Si 0.899 0.101 0.399
6 Si 0.399 0.399 0.601
7 Si 0.101 0.601 0.101
8 Si 0.899 0.399 0.899
9 Te 0.500 0.000 0.500
10 Te 0.500 0.500 0.000
11 Te 0.000 0.000 0.000
12 Te 0.000 0.500 0.500

---

2.
Material: PuCu6Pd6
Method: DFT, PBE
State: relaxed

The value obtained for the calculated formation energy is -0.24 eV/atom.

a b c (Å): 5.005 6.685 6.685
angles (deg): 83.36 68.02 68.02
Last column: magnetic moment on the atom in μB.
Fractional positions:
1 Pd 0.689 0.811 0.811  -0.05
2 Pd 0.658 0.342 0.342  -0.03
3 Pd 0.000 0.347 0.653  -0.02
4 Pd 0.311 0.189 0.189  -0.05
5 Pd 0.342 0.658 0.658  -0.03
6 Pd 0.000 0.653 0.347  -0.02
7 Cu 0.500 0.000 0.500  0.00
8 Cu 0.000 0.500 0.000  0.00
9 Cu 0.500 0.238 0.762  0.00
10 Cu 0.000 0.000 0.500  0.00
11 Cu 0.500 0.762 0.238  0.00
12 Cu 0.500 0.500 0.000  0.00
13 Pu 0.000 0.000 0.000  4.98

---

3.
Material: Sm2Ti2O7
Method: DFT, PBE
State: relaxed

The formation energy (no corrections) comes out at -3.2809 eV/atom.

a b c (Å): 7.290 7.290 7.290
angles (deg): 60.00 60.00 60.00
Fractional positions:
1 O 0.250 0.250 0.250
2 O 0.548 0.548 0.952
3 O 0.702 0.702 0.298
4 O 0.952 0.952 0.548
5 O 0.702 0.298 0.298
6 O 0.952 0.548 0.952
7 O 0.702 0.298 0.702
8 O 0.000 0.000 0.000
9 O 0.548 0.952 0.952
10 O 0.298 0.298 0.702
11 O 0.548 0.952 0.548
12 O 0.298 0.702 0.702
13 O 0.952 0.548 0.548
14 O 0.298 0.702 0.298
15 Ti 0.625 0.125 0.625
16 Ti 0.125 0.625 0.625
17 Ti 0.625 0.625 0.625
18 Ti 0.625 0.625 0.125
19 Sm 0.125 0.125 0.625
20 Sm 0.625 0.125 0.125
21 Sm 0.125 0.625 0.125
22 Sm 0.125 0.125 0.125

---

4.
Material: ZnCr2Si
Method: DFT, PBE
State: relaxed

The formation energy (no corrections) comes out at 0.1394 eV/atom.

a b c (Å): 8.551 8.551 8.551
angles (deg): 17.60 17.60 17.60
Fractional positions:
1 Si 0.250 0.250 0.250
2 Cr 0.996 0.996 0.996
3 Cr 0.504 0.504 0.504
4 Zn 0.750 0.750 0.750

---

5.
Material: Ag2TeAs
Method: DFT, PBE
State: relaxed

The formation energy (no corrections) comes out at 0.0867 eV/atom.

a b c (Å): 3.154 7.119 9.300
angles (deg): 112.64 89.92 90.25
Fractional positions:
1 Ag 0.602 0.495 0.308
2 Ag 0.608 0.842 0.834
3 Ag 0.609 0.079 0.306
4 Ag 0.601 0.259 0.836
5 Te 0.606 0.427 0.590
6 Te 0.604 0.910 0.552
7 As 0.103 0.494 0.072
8 As 0.106 0.844 0.070

---

6.
Material: BaY2Tc
Method: DFT, PBE
State: relaxed

The value obtained for the calculated formation energy is 0.30 eV/atom.

a b c (Å): 3.877 4.151 8.751
angles (deg): 76.35 90.00 90.00
Fractional positions:
1 Y 0.000 0.974 0.926
2 Y 0.500 0.352 0.172
3 Tc 0.500 0.507 0.861
4 Ba 0.000 0.667 0.541

---

7.
Material: AlSb2Mo
Method: DFT, PBE
State: relaxed

The formation energy (no corrections) comes out at 0.2882 eV/atom.

a b c (Å): 9.813 9.813 9.813
angles (deg): 19.17 19.17 19.17
Fractional positions:
1 Sb 0.488 0.488 0.488
2 Sb 0.012 0.012 0.012
3 Mo 0.750 0.750 0.750
4 Al 0.250 0.250 0.250

---

8.
Material: Li2TaW
Method: DFT, PBE
State: relaxed

The value obtained for the calculated formation energy is 0.59 eV/atom.

a b c (Å): 4.842 3.691 3.691
angles (deg): 90.00 90.00 90.00
Fractional positions:
1 W 0.500 0.000 0.500
2 Li 0.000 0.500 0.500
3 Li 0.000 0.000 0.000
4 Ta 0.500 0.500 0.000

---

9.
Material: ScCdN2O
Method: DFT, PBE
State: relaxed

The formation energy (no corrections) comes out at 0.7107 eV/atom.

a b c (Å): 4.075 4.075 4.083
angles (deg): 90.00 90.00 90.00
Fractional positions:
1 Cd 0.000 0.000 0.000
2 O 0.000 0.000 0.500
3 Sc 0.500 0.500 0.500
4 N 0.000 0.500 0.000
5 N 0.500 0.000 0.000

---

10.
Material: CuSnTePd2
Method: DFT, PBE
State: relaxed

The formation energy (no corrections) comes out at 0.7937 eV/atom.

a b c (Å): 4.957 5.772 4.957
angles (deg): 90.00 90.00 90.00
Fractional positions:
1 Te 0.000 0.500 0.000
2 Pd 0.000 0.000 0.500
3 Pd 0.500 0.000 0.000
4 Cu 0.500 0.500 0.500
5 Sn 0.000 0.000 0.000

---

11.
Material: Nd3Sm2DyTm6
Method: DFT, PBE
State: relaxed

The value obtained for the calculated formation energy is 0.02 eV/atom.

a b c (Å): 6.186 6.186 11.701
angles (deg): 95.04 95.04 119.98
Fractional positions:
1 Nd 0.833 0.167 0.500
2 Nd 0.500 0.500 0.500
3 Nd 0.167 0.833 0.500
4 Sm 0.666 0.334 0.000
5 Sm 0.334 0.666 0.000
6 Tm 0.750 0.750 0.248
7 Tm 0.584 0.917 0.752
8 Tm 0.250 0.250 0.752
9 Tm 0.917 0.584 0.752
10 Tm 0.416 0.083 0.248
11 Tm 0.083 0.416 0.248
12 Dy 0.000 0.000 0.000

---

12.
Material: Rb2W2Se5
Method: DFT, PBE
State: relaxed

The formation energy (no corrections) comes out at -0.4251 eV/atom.

a b c (Å): 4.934 7.316 8.683
angles (deg): 98.98 90.00 109.71
Fractional positions:
1 Se 0.691 0.382 0.936
2 Se 0.133 0.267 0.610
3 Se 0.867 0.733 0.390
4 Se 0.309 0.618 0.064
5 Se 0.000 0.000 0.000
6 W 0.855 0.709 0.116
7 W 0.145 0.291 0.884
8 Rb 0.409 0.817 0.698
9 Rb 0.591 0.183 0.302

---

13.
Material: Tb4AlI5
Method: DFT, PBE
State: relaxed

The formation energy (no corrections) comes out at -0.9793 eV/atom.

a b c (Å): 4.217 8.866 10.984
angles (deg): 89.38 101.07 90.00
Fractional positions:
1 I 0.500 0.500 0.000
2 I 0.152 0.246 0.304
3 I 0.152 0.746 0.303
4 I 0.848 0.754 0.696
5 I 0.848 0.254 0.697
6 Tb 0.000 0.779 0.000
7 Tb 0.628 0.997 0.256
8 Tb 0.000 0.221 0.000
9 Tb 0.372 0.003 0.744
10 Al 0.500 0.000 0.000

---

14.
Material: NaSr2Zn2
Method: DFT, PBE
State: relaxed

The value obtained for the calculated formation energy is 0.02 eV/atom.

a b c (Å): 4.050 4.050 11.109
angles (deg): 79.50 79.50 90.00
Fractional positions:
1 Sr 0.371 0.371 0.258
2 Sr 0.629 0.629 0.742
3 Na 0.000 0.000 0.000
4 Zn 0.750 0.250 0.500
5 Zn 0.250 0.750 0.500

---

15.
Material: ZrTl2Br
Method: DFT, PBE
State: relaxed

The formation energy (no corrections) comes out at 0.0006 eV/atom.

a b c (Å): 9.818 9.818 9.818
angles (deg): 20.88 20.88 20.88
Fractional positions:
1 Tl 0.502 0.502 0.502
2 Tl 0.998 0.998 0.998
3 Zr 0.250 0.250 0.250
4 Br 0.750 0.750 0.750

---

16.
Material: BaRh2Pb2
Method: DFT, PBE
State: relaxed

The value obtained for the calculated formation energy is 0.00 eV/atom.

a b c (Å): 8.572 8.572 3.199
angles (deg): 90.00 90.00 90.00
Fractional positions:
1 Rh 0.664 0.836 0.500
2 Rh 0.336 0.164 0.500
3 Rh 0.836 0.336 0.500
4 Rh 0.164 0.664 0.500
5 Ba 0.500 0.500 0.000
6 Ba 0.000 0.000 0.000
7 Pb 0.130 0.370 0.000
8 Pb 0.630 0.130 0.000
9 Pb 0.870 0.630 0.000
10 Pb 0.370 0.870 0.000

---

17.
Material: LaNd2Hf
Method: DFT, PBE
State: relaxed

The value obtained for the calculated formation energy is 0.41 eV/atom.

a b c (Å): 3.415 3.415 12.558
angles (deg): 82.19 82.19 60.00
Fractional positions:
1 Nd 0.916 0.916 0.251
2 Nd 0.084 0.084 0.749
3 Hf 0.000 0.000 0.000
4 La 0.500 0.500 0.500

---

18.
Material: NaBe2Bi2
Method: DFT, PBE
State: relaxed

The value obtained for the calculated formation energy is 0.12 eV/atom.

a b c (Å): 3.876 3.876 8.364
angles (deg): 76.60 76.60 90.00
Fractional positions:
1 Bi 0.360 0.360 0.280
2 Bi 0.640 0.640 0.720
3 Be 0.250 0.750 0.500
4 Be 0.750 0.250 0.500
5 Na 0.000 0.000 0.000

---

These records have total magnetization values of 0.00; 4.99; 0.00; 0.00; 0.00; 0.00; 0.00; 0.00; 0.00; 0.00; 0.00; 0.00; 0.00; 0.00; 0.00; 0.00; 0.00; 0.00 μB per formula unit, in the order they appear.